Here is an optimized crystal structure of GaCoPd from OQMD via LeMat-Bulk. Energies are from PBE.

Results
Total DFT energy (no corrections) in eV/atom: -5.02

Cell lengths 4.118, 4.118, 4.118 Å; angles 60.00, 60.00, 60.00 degrees
Fractional positions:
Co: 0.250 0.250 0.250
Ga: 0.750 0.750 0.750
Pd: 0.000 0.000 0.000